Entry 1:
Computed, not measured: Mn2ZnAgH after structural relaxation at the PBE level of DFT.

Properties
Crystal system: tetragonal
Energy above the most stable polymorph in this dataset: 0.000 eV per formula unit
Symmetry: P4/mmm
Final energy: -4.986 eV per atom
M_tot: 1.203 μB/atom
N(E_F): 2.878 states/eV per cell

a b c (Å): 3.831 3.831 4.135
angles (deg): 90.00 90.00 90.00
Element x y z (fractional)
1 Mn 0.000 0.500 0.000
2 Mn 0.500 0.000 0.000
3 Zn 0.000 0.000 0.500
4 Ag 0.500 0.500 0.500
5 H 0.500 0.500 0.000

Entry 2:
Computed, not measured: MgCd2Cu after structural relaxation at the PBE level of DFT.

Properties
Crystal system: monoclinic
DFT formation energy: 9 meV/atom
Symmetry: Cm
Final energy: -1.871 eV per atom
M_tot: 0.000 μB/atom
N(E_F): 0.982 states/eV per cell

a b c (Å): 5.738 5.738 4.871
angles (deg): 114.39 114.39 31.61
Element x y z (fractional)
1 Mg 0.000 0.000 0.000
2 Cd 0.220 0.220 0.715
3 Cd 0.445 0.445 0.445
4 Cu 0.721 0.721 0.214

Entry 3:
Computed, not measured: PuNpNiIr after structural relaxation at the PBE level of DFT.

Properties
Crystal system: cubic
DFT formation energy: -316 meV/atom
Symmetry: F-43m
Final energy: -10.794 eV per atom
M_tot: 0.514 μB/atom
N(E_F): 10.204 states/eV per cell

a b c (Å): 4.516 4.516 4.516
angles (deg): 60.00 60.00 60.00
Element x y z (fractional)
1 Pu 0.000 0.000 0.000
2 Np 0.750 0.750 0.750
3 Ni 0.250 0.250 0.250
4 Ir 0.500 0.500 0.500

Entry 4:
Computed, not measured: LiScCd6 after structural relaxation at the PBE level of DFT.

Properties
Crystal system: orthorhombic
Energy above the most stable polymorph in this dataset: 0.422 eV per formula unit
DFT formation energy: -125 meV/atom
Symmetry: Amm2
Final energy: -1.842 eV per atom
M_tot: 0.000 μB/atom
N(E_F): 4.237 states/eV per cell

a b c (Å): 4.553 6.188 6.188
angles (deg): 96.62 90.00 90.00
Element x y z (fractional)
1 Li 0.000 0.000 0.000
2 Sc 0.500 0.709 0.709
3 Cd 0.000 0.453 0.453
4 Cd 0.000 0.507 0.953
5 Cd 0.000 0.953 0.507
6 Cd 0.500 0.209 0.739
7 Cd 0.500 0.226 0.226
8 Cd 0.500 0.739 0.209

Entry 5:
Computed, not measured: LaPrDyTh after structural relaxation at the PBE level of DFT.

Properties
Crystal system: cubic
Energy above the most stable polymorph in this dataset: 0.736 eV per formula unit
DFT formation energy: 211 meV/atom
Symmetry: F-43m
Final energy: -5.221 eV per atom
M_tot: 0.002 μB/atom
N(E_F): 12.104 states/eV per cell

a b c (Å): 5.789 5.789 5.789
angles (deg): 60.00 60.00 60.00
Element x y z (fractional)
1 La 0.000 0.000 0.000
2 Pr 0.500 0.500 0.500
3 Dy 0.750 0.750 0.750
4 Th 0.250 0.250 0.250

Entry 6:
Computed, not measured: La6TbHg12 after structural relaxation at the PBE level of DFT.

Properties
Crystal system: trigonal
DFT formation energy: -388 meV/atom
Symmetry: R-3
Final energy: -2.378 eV per atom
M_tot: 0.000 μB/atom
N(E_F): 14.351 states/eV per cell

a b c (Å): 8.770 8.770 8.770
angles (deg): 107.31 107.31 107.31
Element x y z (fractional)
1 La 0.002 0.271 0.427
2 La 0.271 0.427 0.002
3 La 0.427 0.002 0.271
4 La 0.573 0.998 0.729
5 La 0.729 0.573 0.998
6 La 0.998 0.729 0.573
7 Tb 0.500 0.500 0.500
8 Hg 0.064 0.921 0.312
9 Hg 0.079 0.688 0.936
10 Hg 0.243 0.656 0.362
11 Hg 0.312 0.064 0.921
12 Hg 0.344 0.638 0.757
13 Hg 0.362 0.243 0.656
14 Hg 0.638 0.757 0.344
15 Hg 0.656 0.362 0.243
16 Hg 0.688 0.936 0.079
17 Hg 0.757 0.344 0.638
18 Hg 0.921 0.312 0.064
19 Hg 0.936 0.079 0.688